Entry 1:
Entry from OQMD: an optimized crystal structure of HfBe4Tc (GGA-PBE).

As for the magnetization: 0.1 μB/cell. Its electronic total energy is -6.238 eV per atom.

Cell: 4.5617 4.5617 4.5617 Å, 60.00 60.00 60.00°
With the nearest neighbours (Å) after each atom.
Sites, in units of the cell vectors:
1 Hf 0.0000 0.0000 0.0000  12 Be 2.68, 4 Tc 2.79
2 Be 0.1313 0.6229 0.6229  6 Be 2.24-2.32
3 Be 0.6229 0.1313 0.6229  6 Be 2.24-2.32
4 Be 0.6229 0.6229 0.1313  6 Be 2.24-2.32
5 Be 0.6229 0.6229 0.6229  6 Be 2.24-2.32
6 Tc 0.2500 0.2500 0.2500  12 Be 2.67, 4 Hf 2.79

=====

Entry 2:
Entry from OQMD: an optimized crystal structure of HfBeTc (GGA-PBE).

For the energy above the most stable polymorph in this dataset, the calculation gives 0.4423 eV/atom. As for the magnetization: 0.0 μB/cell. Its electronic total energy is -7.061 eV per atom.

Cell: 4.2660 4.2660 4.2660 Å, 60.00 60.00 60.00°
With the nearest neighbours (Å) after each atom.
Sites, in units of the cell vectors:
1 Hf 0.0000 0.0000 0.0000  4 Be 2.61, 4 Tc 2.61
2 Be 0.7500 0.7500 0.7500  4 Hf 2.61
3 Tc 0.2500 0.2500 0.2500  4 Hf 2.61

=====

Entry 3:
Entry from OQMD: an optimized crystal structure of HfBeTc (GGA-PBE).

For the energy above the most stable polymorph in this dataset, the calculation gives 0.0000 eV/atom. As for the magnetization: 0.0 μB/cell. Its electronic total energy is -7.504 eV per atom.

Cell: 4.2154 4.2154 4.2154 Å, 60.00 60.00 60.00°
With the nearest neighbours (Å) after each atom.
Sites, in units of the cell vectors:
1 Hf 0.0000 0.0000 0.0000  4 Tc 2.58
2 Be 0.5000 0.5000 0.5000  4 Tc 2.58
3 Tc 0.7500 0.7500 0.7500  4 Hf 2.58, 4 Be 2.58

=====

Entry 4:
Entry from OQMD: an optimized crystal structure of HfBe2Te (GGA-PBE).

As for the magnetization: 0.0 μB/cell. Its electronic total energy is -4.523 eV per atom.

Cell: 4.6395 4.6395 4.6395 Å, 60.00 60.00 60.00°
With the nearest neighbours (Å) after each atom.
Sites, in units of the cell vectors:
1 Hf 0.0000 0.0000 0.0000  4 Te 2.84, 4 Be 2.84
2 Be 0.2500 0.2500 0.2500  4 Hf 2.84, 4 Be 2.84
3 Be 0.5000 0.5000 0.5000  4 Be 2.84, 4 Te 2.84
4 Te 0.7500 0.7500 0.7500  4 Hf 2.84, 4 Be 2.84

=====

Entry 5:
Entry from OQMD: an optimized crystal structure of Hf2Be3Te2 (GGA-PBE).

As for the magnetization: 0.0 μB/cell. Its electronic total energy is -4.864 eV per atom.

Cell: 11.7510 11.7510 3.3338 Å, 90.00 90.00 163.70°
With the nearest neighbours (Å) after each atom.
Sites, in units of the cell vectors:
1 Hf 0.1919 0.8081 0.0000  4 Be 2.80, 1 Te 2.86
2 Hf 0.8081 0.1919 0.0000  4 Be 2.80, 1 Te 2.86
3 Be 0.3728 0.6272 0.5000  4 Te 2.72, 4 Hf 2.80, 1 Be 2.96
4 Be 0.5000 0.5000 0.5000  8 Te 2.85, 2 Be 2.96
5 Be 0.6272 0.3728 0.5000  4 Te 2.72, 4 Hf 2.80, 1 Be 2.96
6 Te 0.0692 0.9308 0.0000  8 Be 2.72-2.85, 1 Hf 2.86
7 Te 0.9308 0.0692 0.0000  8 Be 2.72-2.85, 1 Hf 2.86

=====

Entry 6:
Entry from OQMD: an optimized crystal structure of HfThBe (GGA-PBE).

For the energy above the most stable polymorph in this dataset, the calculation gives 0.0000 eV/atom. As for the magnetization: 0.0 μB/cell. Its electronic total energy is -6.675 eV per atom.

Cell: 4.5923 4.5923 4.5923 Å, 60.00 60.00 60.00°
With the nearest neighbours (Å) after each atom.
Sites, in units of the cell vectors:
1 Hf 0.0000 0.0000 0.0000  4 Be 2.81
2 Th 0.5000 0.5000 0.5000  4 Be 2.81
3 Be 0.2500 0.2500 0.2500  4 Hf 2.81, 4 Th 2.81

=====

Entry 7:
Entry from OQMD: an optimized crystal structure of Hf2Be2Tl (GGA-PBE).

As for the magnetization: 0.0 μB/cell. Its electronic total energy is -6.068 eV per atom.

Cell: 6.4117 6.4117 3.9770 Å, 90.00 90.00 90.00°
With the nearest neighbours (Å) after each atom.
Sites, in units of the cell vectors:
1 Hf 0.1650 0.3350 0.0000  6 Be 2.71-2.80, 1 Hf 2.99
2 Hf 0.3350 0.8350 0.0000  6 Be 2.71-2.80, 1 Hf 2.99
3 Hf 0.6650 0.1650 0.0000  6 Be 2.71-2.80, 1 Hf 2.99
4 Hf 0.8350 0.6650 0.0000  6 Be 2.71-2.80, 1 Hf 2.99
5 Be 0.1178 0.6178 0.5000  1 Be 2.14
6 Be 0.3822 0.1178 0.5000  1 Be 2.14
7 Be 0.6178 0.8822 0.5000  1 Be 2.14
8 Be 0.8822 0.3822 0.5000  1 Be 2.14
9 Tl 0.0000 0.0000 0.5000  4 Be 2.56
10 Tl 0.5000 0.5000 0.5000  4 Be 2.56

=====

Entry 8:
Entry from OQMD: an optimized crystal structure of HfBe2Tl (GGA-PBE).

As for the magnetization: 0.0 μB/cell. Its electronic total energy is -4.258 eV per atom.

Cell: 4.5631 4.5631 4.5631 Å, 60.00 60.00 60.00°
With the nearest neighbours (Å) after each atom.
Sites, in units of the cell vectors:
1 Hf 0.0000 0.0000 0.0000  4 Be 2.79, 4 Tl 2.79
2 Be 0.2500 0.2500 0.2500  4 Be 2.79, 4 Hf 2.79
3 Be 0.5000 0.5000 0.5000  4 Tl 2.79, 4 Be 2.79
4 Tl 0.7500 0.7500 0.7500  4 Be 2.79, 4 Hf 2.79

=====

Entry 9:
Entry from OQMD: an optimized crystal structure of HfBeTl (GGA-PBE).

For the energy above the most stable polymorph in this dataset, the calculation gives 0.0000 eV/atom. As for the magnetization: 0.0 μB/cell. Its electronic total energy is -5.041 eV per atom.

Cell: 4.3056 4.3056 4.3056 Å, 60.00 60.00 60.00°
With the nearest neighbours (Å) after each atom.
Sites, in units of the cell vectors:
1 Hf 0.0000 0.0000 0.0000  4 Be 2.64
2 Be 0.2500 0.2500 0.2500  4 Tl 2.64, 4 Hf 2.64
3 Tl 0.5000 0.5000 0.5000  4 Be 2.64

=====

Entry 10:
Entry from OQMD: an optimized crystal structure of HfBeTl (GGA-PBE).

For the energy above the most stable polymorph in this dataset, the calculation gives 0.5143 eV/atom. As for the magnetization: 0.0 μB/cell. Its electronic total energy is -4.527 eV per atom.

Cell: 4.5770 4.5770 4.5770 Å, 60.00 60.00 60.00°
With the nearest neighbours (Å) after each atom.
Sites, in units of the cell vectors:
1 Hf 0.0000 0.0000 0.0000  4 Tl 2.80, 4 Be 2.80
2 Be 0.7500 0.7500 0.7500  4 Hf 2.80
3 Tl 0.2500 0.2500 0.2500  4 Hf 2.80

=====

Entry 11:
Entry from OQMD: an optimized crystal structure of TmHfBe (GGA-PBE).

For the energy above the most stable polymorph in this dataset, the calculation gives 0.0000 eV/atom. As for the magnetization: 0.1 μB/cell. Its electronic total energy is -4.891 eV per atom.

Cell: 4.6552 4.6552 4.6552 Å, 60.00 60.00 60.00°
With the nearest neighbours (Å) after each atom.
Sites, in units of the cell vectors:
1 Tm 0.0000 0.0000 0.0000  4 Hf 2.85
2 Hf 0.7500 0.7500 0.7500  4 Be 2.85, 4 Tm 2.85
3 Be 0.5000 0.5000 0.5000  4 Hf 2.85

=====

Entry 12:
Entry from OQMD: an optimized crystal structure of Hf2BeW (GGA-PBE).

As for the magnetization: 0.0 μB/cell. Its electronic total energy is -8.780 eV per atom.

Cell: 4.5788 4.5788 4.5788 Å, 60.00 60.00 60.00°
With the nearest neighbours (Å) after each atom.
Sites, in units of the cell vectors:
1 Hf 0.0000 0.0000 0.0000  4 W 2.80, 4 Hf 2.80
2 Hf 0.2500 0.2500 0.2500  4 Be 2.80, 4 Hf 2.80
3 Be 0.5000 0.5000 0.5000  4 W 2.80, 4 Hf 2.80
4 W 0.7500 0.7500 0.7500  4 Be 2.80, 4 Hf 2.80